# NbCdRh PBE relaxed
# Energy relative to the elements ... -3.1 kcal/mol of atoms
# Total DFT energy (no corrections) ... -37.49 eV for the cell shown
# Spin magnetization ... 0.000 μB per atom
# Density ... 9.60 g/cm3
data_NbCdRh
_chemical_formula_sum 'Nb2 Cd2 Rh2'
_cell_length_a 3.0646
_cell_length_b 3.0646
_cell_length_c 11.3566
_cell_angle_alpha 90.00
_cell_angle_beta 90.00
_cell_angle_gamma 90.00
_space_group_name_H-M_alt 'I 4 m m'
_space_group_IT_number 107
_space_group_name_Hall 'I 4 -2'
loop_
_atom_site_label
_atom_site_type_symbol
_atom_site_fract_x
_atom_site_fract_y
_atom_site_fract_z
Nb1 Nb 0.0000 0.0000 0.0000
Cd1 Cd 0.0000 0.0000 0.6932
Rh1 Rh 0.0000 0.0000 0.3651